Model one:
A geometry-optimized Dy2CdPd4 structure. Source: Alexandria via LeMat-Bulk, functional PBE-GGA.

CIF file:
```
data_Dy2CdPd4
_cell_length_a 4.081
_cell_length_b 4.081
_cell_length_c 18.306
_cell_angle_alpha 90.00
_cell_angle_beta 90.00
_cell_angle_gamma 90.00
_space_group_name_H-M_alt 'I 4/m m m'
_space_group_IT_number 139
_space_group_name_Hall '-I 4 2'
loop_
_atom_site_label
_atom_site_fract_x
_atom_site_fract_y
_atom_site_fract_z
_atom_site_occupancy
Dy1 0.000 0.000 0.132 1
Cd1 0.000 0.000 0.500 1
Pd1 0.000 0.000 0.355 1
Pd2 0.000 0.500 0.250 1
```

Calculated values
magnetization	0.0	μB per cell
calculated density	9.40	g/cm³

=====

Model two:
A geometry-optimized Dy2CdPd4 structure. Source: Alexandria via LeMat-Bulk, functional PBE-GGA.

CIF file:
```
data_Dy2CdPd4
_cell_length_a 8.939
_cell_length_b 4.318
_cell_length_c 8.241
_cell_angle_alpha 90.00
_cell_angle_beta 116.31
_cell_angle_gamma 90.00
_space_group_name_H-M_alt 'C 1 2/m 1'
_space_group_IT_number 12
loop_
_space_group_symop_operation_xyz
'x,y,z'
'-x,-y,-z'
'-x,y,-z'
'x,-y,z'
'x+1/2,y+1/2,z'
'-x+1/2,-y+1/2,-z'
'-x+1/2,y+1/2,-z'
'x+1/2,-y+1/2,z'
loop_
_atom_site_label
_atom_site_fract_x
_atom_site_fract_y
_atom_site_fract_z
_atom_site_occupancy
Dy1 0.025 0.000 0.229 1
Cd1 0.000 0.500 0.500 1
Pd1 0.224 0.500 0.882 1
Pd2 0.234 0.000 0.628 1
```

Calculated values
magnetization	0.0	μB per cell
calculated density	10.05	g/cm³

=====

Computed energies relative to the best structure, in meV/atom: model one 0; model two 28